# 1
KCu2Tc: relaxed, GGA-PBE.

a = 2.6929 Å, b = 2.6929 Å, c = 9.2289 Å
α = 90.00°, β = 90.00°, γ = 90.00°
Last column: nearest neighbours and their distance in Å.
Positions (direct):
K  0.0000  0.0000  0.4937  4 K 2.69
Tc  0.5000  0.5000  0.8049  4 Cu 2.69, 4 Tc 2.69
Cu  0.5000  0.5000  0.1904  8 Cu 2.52-2.69
Cu  0.0000  0.0000  0.0110  8 Cu 2.52-2.69, 4 Tc 2.69

For the formation energy, the calculation gives 0.672 eV per atom. The space group is P4mm, No. 99. As for the density of states at the Fermi level: 1.7 states/eV per cell.

---

# 2
Ac2LaSm3Te6: relaxed, GGA-PBE.

a = 7.8832 Å, b = 7.8832 Å, c = 7.9625 Å
α = 99.50°, β = 99.50°, γ = 120.29°
Last column: nearest neighbours and their distance in Å.
Positions (direct):
Te  0.5845  0.9123  0.7358  3 Sm 3.15-3.16, 1 La 3.25, 2 Ac 3.31
Te  0.4155  0.0877  0.2642  3 Sm 3.15-3.16, 1 La 3.25, 2 Ac 3.31
Te  0.9123  0.5845  0.7358  3 Sm 3.15-3.16, 1 La 3.25, 2 Ac 3.31
Te  0.0877  0.4155  0.2642  3 Sm 3.15-3.16, 1 La 3.25, 2 Ac 3.31
Te  0.7625  0.7625  0.2689  3 Sm 3.17-3.19, 1 La 3.27, 2 Ac 3.32
Te  0.2375  0.2375  0.7311  3 Sm 3.17-3.19, 1 La 3.27, 2 Ac 3.32
Ac  0.6659  0.3341  0.0000  6 Te 3.31-3.32
Ac  0.3341  0.6659  0.0000  6 Te 3.31-3.32
Sm  0.8287  0.1713  0.5000  6 Te 3.15-3.17
Sm  0.1713  0.8287  0.5000  6 Te 3.15-3.17
Sm  0.5000  0.5000  0.5000  6 Te 3.15-3.19
La  0.0000  0.0000  0.0000  6 Te 3.25-3.27

The raw formation energy is -1453.2 meV/atom. The space group is C2/m, No. 12. As for the density of states at the Fermi level: 7.1 states/eV per cell.